i.
Crystalline Hf2NbAs2 at its relaxed geometry, computed with PBE-GGA.

Lattice parameters (Å, degrees): 6.744 6.744 6.744 114.81 84.16 133.02
Fractional positions:
Hf 0.172 0.140 0.313
Hf 0.328 0.640 0.968
Hf 0.672 0.360 0.032
Hf 0.828 0.860 0.687
Nb 0.250 0.750 0.500
Nb 0.750 0.250 0.500
As 0.094 0.794 0.889
As 0.406 0.294 0.700
As 0.594 0.706 0.300
As 0.906 0.206 0.111

ii.
Crystalline Hf2NbAs2 at its relaxed geometry, computed with PBE-GGA.

Lattice parameters (Å, degrees): 7.065 7.065 3.658 90.00 90.00 90.00
Fractional positions:
Hf 0.158 0.342 0.000
Hf 0.342 0.842 0.000
Hf 0.658 0.158 0.000
Hf 0.842 0.658 0.000
Nb 0.000 0.000 0.500
Nb 0.500 0.500 0.500
As 0.145 0.645 0.500
As 0.355 0.145 0.500
As 0.645 0.855 0.500
As 0.855 0.355 0.500

Relative stability in eV/atom, measured from the most stable structure: i 0.129; ii 0.000

i.
Crystalline HfNb3As at its relaxed geometry, computed with PBE-GGA.

Lattice parameters (Å, degrees): 4.765 4.765 4.765 90.00 90.00 90.00
Fractional positions:
Hf 0.000 0.000 0.000
Nb 0.000 0.500 0.500
Nb 0.500 0.000 0.500
Nb 0.500 0.500 0.000
As 0.500 0.500 0.500

ii.
Crystalline HfNb3As at its relaxed geometry, computed with PBE-GGA.

Lattice parameters (Å, degrees): 4.919 4.919 4.919 90.00 90.00 90.00
Fractional positions:
Hf 0.000 0.000 0.000
Nb 0.000 0.000 0.500
Nb 0.000 0.500 0.000
Nb 0.500 0.000 0.000
As 0.500 0.500 0.500

Relative stability in eV/atom, measured from the most stable structure: i 0.000; ii 1.186

i.
Crystalline Hf3NbAs at its relaxed geometry, computed with PBE-GGA.

Lattice parameters (Å, degrees): 4.898 4.898 4.898 90.00 90.00 90.00
Fractional positions:
Hf 0.000 0.000 0.500
Hf 0.000 0.500 0.000
Hf 0.500 0.000 0.000
Nb 0.500 0.500 0.500
As 0.000 0.000 0.000

ii.
Crystalline Hf3NbAs at its relaxed geometry, computed with PBE-GGA.

Lattice parameters (Å, degrees): 5.043 5.043 5.043 90.00 90.00 90.00
Fractional positions:
Hf 0.000 0.000 0.500
Hf 0.000 0.500 0.000
Hf 0.500 0.000 0.000
Nb 0.000 0.000 0.000
As 0.500 0.500 0.500

Relative stability in eV/atom, measured from the most stable structure: i 0.000; ii 0.672

i.
Crystalline HfNbAs2Se at its relaxed geometry, computed with PBE-GGA.

Lattice parameters (Å, degrees): 5.082 5.082 5.056 90.00 90.00 90.00
Fractional positions:
Hf 0.000 0.000 0.000
Nb 0.500 0.500 0.500
As 0.000 0.500 0.000
As 0.500 0.000 0.000
Se 0.000 0.000 0.500

ii.
Crystalline HfNbAs2Se at its relaxed geometry, computed with PBE-GGA.

Lattice parameters (Å, degrees): 4.977 4.977 4.897 90.00 90.00 90.00
Fractional positions:
Hf 0.000 0.000 0.000
Nb 0.500 0.500 0.500
As 0.000 0.500 0.500
As 0.500 0.000 0.500
Se 0.500 0.500 0.000

Relative stability in eV/atom, measured from the most stable structure: i 0.090; ii 0.000

i.
Crystalline HfNi3As at its relaxed geometry, computed with PBE-GGA.

Lattice parameters (Å, degrees): 8.500 8.500 8.500 148.50 148.50 45.14
Fractional positions:
Hf 0.152 0.152 0.000
Hf 0.848 0.848 0.000
Ni 0.376 0.132 0.756
Ni 0.376 0.620 0.244
Ni 0.380 0.624 0.756
Ni 0.559 0.059 0.500
Ni 0.868 0.624 0.244
Ni 0.941 0.441 0.500
As 0.250 0.750 0.500
As 0.500 0.500 0.000

ii.
Crystalline HfNi3As at its relaxed geometry, computed with PBE-GGA.

Lattice parameters (Å, degrees): 4.298 4.298 4.298 90.00 90.00 90.00
Fractional positions:
Hf 0.000 0.000 0.000
Ni 0.000 0.500 0.500
Ni 0.500 0.000 0.500
Ni 0.500 0.500 0.000
As 0.500 0.500 0.500

Relative stability in eV/atom, measured from the most stable structure: i 0.000; ii 0.166

i.
Crystalline HfNiAsSe2 at its relaxed geometry, computed with PBE-GGA.

Lattice parameters (Å, degrees): 5.106 5.106 5.187 90.00 90.00 90.00
Fractional positions:
Hf 0.000 0.000 0.000
Ni 0.500 0.500 0.500
As 0.000 0.000 0.500
Se 0.000 0.500 0.000
Se 0.500 0.000 0.000

ii.
Crystalline HfNiAsSe2 at its relaxed geometry, computed with PBE-GGA.

Lattice parameters (Å, degrees): 4.659 4.659 4.501 90.00 90.00 90.00
Fractional positions:
Hf 0.000 0.000 0.000
Ni 0.500 0.500 0.500
As 0.500 0.500 0.000
Se 0.000 0.500 0.500
Se 0.500 0.000 0.500

Relative stability in eV/atom, measured from the most stable structure: i 0.232; ii 0.000

i.
Crystalline HfNiAs2Se at its relaxed geometry, computed with PBE-GGA.

Lattice parameters (Å, degrees): 4.526 4.526 4.787 90.00 90.00 90.00
Fractional positions:
Hf 0.000 0.000 0.000
Ni 0.500 0.500 0.500
As 0.000 0.500 0.500
As 0.500 0.000 0.500
Se 0.500 0.500 0.000

ii.
Crystalline HfNiAs2Se at its relaxed geometry, computed with PBE-GGA.

Lattice parameters (Å, degrees): 5.134 5.134 5.073 90.00 90.00 90.00
Fractional positions:
Hf 0.000 0.000 0.000
Ni 0.500 0.500 0.500
As 0.000 0.500 0.000
As 0.500 0.000 0.000
Se 0.000 0.000 0.500

Relative stability in eV/atom, measured from the most stable structure: i 0.000; ii 0.364

i.
Crystalline HfAs3O at its relaxed geometry, computed with PBE-GGA.

Lattice parameters (Å, degrees): 4.376 4.376 4.376 90.00 90.00 90.00
Fractional positions:
Hf 0.000 0.000 0.000
As 0.000 0.500 0.500
As 0.500 0.000 0.500
As 0.500 0.500 0.000
O 0.500 0.500 0.500

ii.
Crystalline HfAs3O at its relaxed geometry, computed with PBE-GGA.

Lattice parameters (Å, degrees): 5.081 5.081 5.081 90.00 90.00 90.00
Fractional positions:
Hf 0.000 0.000 0.000
As 0.000 0.000 0.500
As 0.000 0.500 0.000
As 0.500 0.000 0.000
O 0.500 0.500 0.500

Relative stability in eV/atom, measured from the most stable structure: i 0.000; ii 0.925